The following is a DFT calculation (GGA-PBE) of a geometry-optimized In2BiI6 structure.

## Properties
V (Å³ per cell): 940.6
Crystal system: monoclinic
DOS(E_F) (states/eV/atom): 0.2493
Energy relative to the elements, uncorrected (eV/atom): -0.37

Unit cell a=11.349 b=11.349 c=7.973 alpha=106.32 beta=106.32 gamma=79.84
Positions (direct):
1 In 0.098 0.309 0.210
2 In 0.309 0.098 0.710
3 In 0.691 0.902 0.290
4 In 0.902 0.691 0.790
5 Bi 0.413 0.587 0.250
6 Bi 0.587 0.413 0.750
7 I 0.071 0.213 0.513
8 I 0.158 0.610 0.005
9 I 0.213 0.071 0.013
10 I 0.312 0.463 0.480
11 I 0.390 0.842 0.495
12 I 0.463 0.312 0.980
13 I 0.537 0.688 0.020
14 I 0.610 0.158 0.505
15 I 0.688 0.537 0.520
16 I 0.787 0.929 0.987
17 I 0.842 0.390 0.995
18 I 0.929 0.787 0.487

The following is a DFT calculation (GGA-PBE) of a geometry-optimized In3Bi3I structure.

## Properties
V (Å³ per cell): 579.2
Crystal system: cubic
DOS(E_F) (states/eV/atom): 1.2390
Energy relative to the elements, uncorrected (eV/atom): 0.08

Unit cell a=8.336 b=8.336 c=8.336 alpha=90.00 beta=90.00 gamma=90.00
Positions (direct):
1 In 0.000 0.250 0.500
2 In 0.000 0.750 0.500
3 In 0.250 0.500 0.000
4 In 0.500 0.000 0.250
5 In 0.500 0.000 0.750
6 In 0.750 0.500 0.000
7 Bi 0.000 0.500 0.250
8 Bi 0.000 0.500 0.750
9 Bi 0.250 0.000 0.500
10 Bi 0.500 0.250 0.000
11 Bi 0.500 0.750 0.000
12 Bi 0.750 0.000 0.500
13 I 0.000 0.000 0.000
14 I 0.500 0.500 0.500

The following is a DFT calculation (GGA-PBE) of a geometry-optimized InBiI structure.

## Properties
V (Å³ per cell): 499.2
Crystal system: orthorhombic
DOS(E_F) (states/eV/atom): 0.2960
Energy relative to the elements, uncorrected (eV/atom): -0.18

Unit cell a=8.670 b=4.636 c=12.418 alpha=90.00 beta=90.00 gamma=90.00
Positions (direct):
1 In 0.171 0.250 0.216
2 In 0.329 0.750 0.716
3 In 0.671 0.250 0.284
4 In 0.829 0.750 0.784
5 Bi 0.027 0.750 0.578
6 Bi 0.473 0.250 0.078
7 Bi 0.527 0.750 0.922
8 Bi 0.973 0.250 0.422
9 I 0.061 0.250 0.853
10 I 0.439 0.750 0.353
11 I 0.561 0.250 0.647
12 I 0.939 0.750 0.147

The following is a DFT calculation (GGA-PBE) of a geometry-optimized In6BiI12 structure.

## Properties
V (Å³ per cell): 850.7
Crystal system: trigonal
DOS(E_F) (states/eV/atom): 1.1450
Energy relative to the elements, uncorrected (eV/atom): -0.35

Unit cell a=10.021 b=10.021 c=10.021 alpha=69.35 beta=69.35 gamma=69.35
Positions (direct):
1 In 0.031 0.795 0.675
2 In 0.205 0.325 0.969
3 In 0.325 0.969 0.205
4 In 0.675 0.031 0.795
5 In 0.795 0.675 0.031
6 In 0.969 0.205 0.325
7 Bi 0.500 0.500 0.500
8 I 0.013 0.869 0.343
9 I 0.131 0.657 0.987
10 I 0.182 0.457 0.630
11 I 0.343 0.013 0.869
12 I 0.370 0.818 0.543
13 I 0.457 0.630 0.182
14 I 0.543 0.370 0.818
15 I 0.630 0.182 0.457
16 I 0.657 0.987 0.131
17 I 0.818 0.543 0.370
18 I 0.869 0.343 0.013
19 I 0.987 0.131 0.657

The following is a DFT calculation (GGA-PBE) of a geometry-optimized In2BiI8 structure.

## Properties
V (Å³ per cell): 620.5
Crystal system: monoclinic
DOS(E_F) (states/eV/atom): 0.4568
Energy relative to the elements, uncorrected (eV/atom): -0.41

Unit cell a=9.037 b=9.037 c=7.810 alpha=95.02 beta=95.02 gamma=78.27
Positions (direct):
1 In 0.214 0.214 0.179
2 In 0.786 0.786 0.821
3 Bi 0.000 0.000 0.500
4 I 0.084 0.703 0.692
5 I 0.173 0.173 0.816
6 I 0.297 0.916 0.308
7 I 0.401 0.401 0.325
8 I 0.599 0.599 0.675
9 I 0.703 0.084 0.692
10 I 0.827 0.827 0.184
11 I 0.916 0.297 0.308

The following is a DFT calculation (GGA-PBE) of a geometry-optimized In2BiI8 structure.

## Properties
V (Å³ per cell): 638.7
Crystal system: monoclinic
DOS(E_F) (states/eV/atom): 0.5804
Energy relative to the elements, uncorrected (eV/atom): -0.38

Unit cell a=9.001 b=9.001 c=9.110 alpha=110.60 beta=110.60 gamma=90.83
Positions (direct):
1 In 0.203 0.203 0.459
2 In 0.797 0.797 0.541
3 Bi 0.000 0.000 0.000
4 I 0.144 0.815 0.733
5 I 0.185 0.856 0.267
6 I 0.286 0.286 0.208
7 I 0.376 0.376 0.802
8 I 0.624 0.624 0.198
9 I 0.714 0.714 0.792
10 I 0.815 0.144 0.733
11 I 0.856 0.185 0.267

The following is a DFT calculation (GGA-PBE) of a geometry-optimized InBiI structure.

## Properties
V (Å³ per cell): 441.6
Crystal system: orthorhombic
DOS(E_F) (states/eV/atom): 0.1329
Energy relative to the elements, uncorrected (eV/atom): -0.12

Unit cell a=6.197 b=4.743 c=15.025 alpha=90.00 beta=90.00 gamma=90.00
Positions (direct):
1 In 0.250 0.250 0.121
2 In 0.250 0.750 0.621
3 In 0.750 0.250 0.379
4 In 0.750 0.750 0.879
5 Bi 0.250 0.250 0.751
6 Bi 0.250 0.750 0.251
7 Bi 0.750 0.250 0.749
8 Bi 0.750 0.750 0.249
9 I 0.250 0.250 0.450
10 I 0.250 0.750 0.950
11 I 0.750 0.250 0.050
12 I 0.750 0.750 0.550

The following is a DFT calculation (GGA-PBE) of a geometry-optimized InBi2I structure.

## Properties
V (Å³ per cell): 628.7
Crystal system: orthorhombic
DOS(E_F) (states/eV/atom): 0.0855
Energy relative to the elements, uncorrected (eV/atom): -0.11

Unit cell a=7.894 b=4.477 c=17.788 alpha=90.00 beta=90.00 gamma=90.00
Positions (direct):
1 In 0.250 0.000 0.131
2 In 0.250 0.500 0.369
3 In 0.750 0.000 0.869
4 In 0.750 0.500 0.631
5 Bi 0.060 0.250 0.554
6 Bi 0.060 0.250 0.946
7 Bi 0.440 0.750 0.554
8 Bi 0.440 0.750 0.946
9 Bi 0.560 0.250 0.054
10 Bi 0.560 0.250 0.446
11 Bi 0.940 0.750 0.054
12 Bi 0.940 0.750 0.446
13 I 0.015 0.250 0.250
14 I 0.485 0.750 0.250
15 I 0.515 0.250 0.750
16 I 0.985 0.750 0.750